# 1
Density functional theory data (GGA-PBEsol) for a relaxed Re2OsAu crystal.

Output
size of the total moment: 0.00 μB/f.u.
E above lowest polymorph: 0 meV per atom
density of states at the Fermi level: 0.8900 states/eV per atom
ΔE_f: 67.4 kJ/mol of atoms

Structure (CIF):
```
data_Re2OsAu
_cell_length_a 4.657
_cell_length_b 4.657
_cell_length_c 2.784
_cell_angle_alpha 90.00
_cell_angle_beta 90.00
_cell_angle_gamma 90.00
_space_group_name_H-M_alt 'P 4/m m m'
_space_group_IT_number 123
_space_group_name_Hall '-P 4 2'
loop_
_atom_site_label
_atom_site_fract_x
_atom_site_fract_y
_atom_site_fract_z
_atom_site_occupancy
Re1 0.000 0.500 0.000 1
Os1 0.000 0.000 0.500 1
Au1 0.500 0.500 0.500 1
```



# 2
Density functional theory data (GGA-PBEsol) for a relaxed BeSiOs2 crystal.

Output
size of the total moment: 0.00 μB/f.u.
density of states at the Fermi level: 0.6108 states/eV per atom
ΔE_f (raw): -0.1311 eV per atom

Structure (CIF):
```
data_BeSiOs2
_cell_length_a 2.797
_cell_length_b 4.182
_cell_length_c 4.233
_cell_angle_alpha 90.00
_cell_angle_beta 90.00
_cell_angle_gamma 90.00
_space_group_name_H-M_alt 'P m m 2'
_space_group_IT_number 25
loop_
_space_group_symop_operation_xyz
'x,y,z'
'-x,-y,z'
'-x,y,z'
'x,-y,z'
loop_
_atom_site_label
_atom_site_fract_x
_atom_site_fract_y
_atom_site_fract_z
_atom_site_occupancy
Be1 0.000 0.000 0.000 1
Si1 0.500 0.500 0.150 1
Os1 0.000 0.500 0.683 1
Os2 0.500 0.000 0.475 1
```



# 3
Density functional theory data (GGA-PBEsol) for a relaxed LaSiNi crystal.

Output
size of the total moment: 0.00 μB/f.u.
density of states at the Fermi level: 1.9293 states/eV per atom
ΔE_f (raw): -0.4168 eV per atom

Structure (CIF):
```
data_LaSiNi
_cell_length_a 6.241
_cell_length_b 6.241
_cell_length_c 6.241
_cell_angle_alpha 90.00
_cell_angle_beta 90.00
_cell_angle_gamma 90.00
_space_group_name_H-M_alt 'F -4 3 m'
_space_group_IT_number 216
_space_group_name_Hall 'F -4 2 3'
loop_
_atom_site_label
_atom_site_fract_x
_atom_site_fract_y
_atom_site_fract_z
_atom_site_occupancy
La1 0.000 0.000 0.000 1
Si1 0.000 0.000 0.500 1
Ni1 0.250 0.250 0.250 1
```



# 4
Density functional theory data (GGA-PBEsol) for a relaxed Pm2NiRh crystal.

Output
size of the total moment: 0.00 μB/f.u.
density of states at the Fermi level: 0.5397 states/eV per atom
ΔE_f: -42.1 kJ/mol of atoms

Structure (CIF):
```
data_Pm2NiRh
_cell_length_a 6.874
_cell_length_b 6.874
_cell_length_c 6.874
_cell_angle_alpha 90.00
_cell_angle_beta 90.00
_cell_angle_gamma 90.00
_space_group_name_H-M_alt 'F m -3 m'
_space_group_IT_number 225
_space_group_name_Hall '-F 4 2 3'
loop_
_atom_site_label
_atom_site_fract_x
_atom_site_fract_y
_atom_site_fract_z
_atom_site_occupancy
Pm1 0.250 0.250 0.250 1
Ni1 0.000 0.000 0.000 1
Rh1 0.000 0.000 0.500 1
```



# 5
Density functional theory data (GGA-PBEsol) for a relaxed ZrWIO2 crystal.

Output
size of the total moment: 0.00 μB/f.u.
E above lowest polymorph: 0 meV per atom
density of states at the Fermi level: 0.7399 states/eV per atom
ΔE_f (raw): -0.5064 eV per atom

Structure (CIF):
```
data_ZrWIO2
_cell_length_a 3.895
_cell_length_b 3.895
_cell_length_c 5.907
_cell_angle_alpha 90.00
_cell_angle_beta 90.00
_cell_angle_gamma 90.00
_space_group_name_H-M_alt 'P 4/m m m'
_space_group_IT_number 123
_space_group_name_Hall '-P 4 2'
loop_
_atom_site_label
_atom_site_fract_x
_atom_site_fract_y
_atom_site_fract_z
_atom_site_occupancy
Zr1 0.000 0.000 0.000 1
W1 0.500 0.500 0.500 1
I1 0.500 0.500 0.000 1
O1 0.000 0.500 0.500 1
```



# 6
Density functional theory data (GGA-PBEsol) for a relaxed BaCa3Ag crystal.

Output
size of the total moment: 0.00 μB/f.u.
density of states at the Fermi level: 1.0117 states/eV per atom
ΔE_f: -7.5 kJ/mol of atoms

Structure (CIF):
```
data_BaCa3Ag
_cell_length_a 5.863
_cell_length_b 5.863
_cell_length_c 5.863
_cell_angle_alpha 90.00
_cell_angle_beta 90.00
_cell_angle_gamma 90.00
_space_group_name_H-M_alt 'P m -3 m'
_space_group_IT_number 221
_space_group_name_Hall '-P 4 2 3'
loop_
_atom_site_label
_atom_site_fract_x
_atom_site_fract_y
_atom_site_fract_z
_atom_site_occupancy
Ba1 0.000 0.000 0.000 1
Ca1 0.000 0.500 0.500 1
Ag1 0.500 0.500 0.500 1
```